VASP calculation (PBE-GGA) on NdGdHgIr after structural relaxation.

a = 5.1484 Å, b = 5.1484 Å, c = 5.1484 Å
α = 60.00°, β = 60.00°, γ = 60.00°
Last column: nearest neighbours and their distance in Å.
Element x y z (fractional)
Ir 0.0000 0.0000 0.0000  4 Gd 3.15, 4 Nd 3.15
Gd 0.7500 0.7500 0.7500  4 Hg 3.15, 4 Ir 3.15
Nd 0.2500 0.2500 0.2500  4 Ir 3.15, 4 Hg 3.15
Hg 0.5000 0.5000 0.5000  4 Nd 3.15, 4 Gd 3.15

Properties
For the total energy, the calculation gives -7.54 eV per atom. The formation energy comes out at -0.5346 eV per atom.